Computed, not measured: a relaxed NiRh2W crystal at the GGA-PBE level of DFT.

Results
Density of states at the Fermi level, states/eV/atom: 0.896
M_tot, μB/f.u.: 0.00
Polymorph energy (0 for the lowest one), eV/atom: 0.3677
E_tot, eV per atom: -8.23

a b c (Å): 4.299 4.299 4.299
angles (deg): 60.00 60.00 60.00
Atoms (fractional coordinates):
Ni 0.500 0.500 0.500
Rh 0.000 0.000 0.000
Rh 0.750 0.750 0.750
W 0.250 0.250 0.250